Model 1:
Crystalline TcOsN2 at its relaxed geometry, computed with PBE.

density of states at the Fermi level = 0.800 states/eV/atom

abc: 2.7685 2.7685 19.8272
angles: 90.00 90.00 120.00
Space group R-3m (No. 166, hexagonal axes)
Unique sites:
Tc (0.0000, 0.0000, 0.0000) (multiplicity 3)
Os (0.0000, 0.0000, 0.5000) (multiplicity 3)
N (0.0000, 0.0000, 0.4017) (multiplicity 6)

Model 2:
Crystalline TcOsN2 at its relaxed geometry, computed with PBE.

density of states at the Fermi level = 0.723 states/eV/atom

abc: 4.746 4.746 8.572
angles: 90.00 90.00 90.00
Space group I-42d (No. 122)
Unique sites:
Tc (0.000, 0.000, 0.000) (multiplicity 4)
Os (0.000, 0.000, 0.500) (multiplicity 4)
N (0.246, 0.250, 0.625) (multiplicity 8)

Model 3:
Crystalline TcOsN2 at its relaxed geometry, computed with PBE.

density of states at the Fermi level = 0.564 states/eV/atom

abc: 5.406 5.406 5.406
angles: 90.00 90.00 90.00
Space group Fm-3m (No. 225)
Unique sites:
Tc (0.000, 0.000, 0.000) (multiplicity 4)
Os (0.000, 0.000, 0.500) (multiplicity 4)
N (0.250, 0.250, 0.250) (multiplicity 8)

The least stable of them is model 3.

Model 1:
Crystalline TcTe2OsN at its relaxed geometry, computed with PBE.

density of states at the Fermi level = 0.788 states/eV/atom

abc: 5.400 5.400 3.653
angles: 90.00 90.00 90.00
Space group P4/mmm (No. 123)
Unique sites:
Tc (0.000, 0.000, 0.000) (multiplicity 1)
Te (0.000, 0.500, 0.500) (multiplicity 2)
Os (0.500, 0.500, 0.500) (multiplicity 1)
N (0.500, 0.500, 0.000) (multiplicity 1)

Model 2:
Crystalline TcTe2OsN at its relaxed geometry, computed with PBE.

density of states at the Fermi level = 1.237 states/eV/atom

abc: 5.263 5.263 3.629
angles: 90.00 90.00 90.00
Space group P4/mmm (No. 123)
Unique sites:
Tc (0.000, 0.000, 0.000) (multiplicity 1)
Te (0.000, 0.500, 0.000) (multiplicity 2)
Os (0.500, 0.500, 0.500) (multiplicity 1)
N (0.000, 0.000, 0.500) (multiplicity 1)

The least stable of them is model 2.

Model 1:
Crystalline TeOs3N at its relaxed geometry, computed with PBE.

density of states at the Fermi level = 0.597 states/eV/atom

abc: 4.175 4.175 4.175
angles: 90.00 90.00 90.00
Space group Pm-3m (No. 221)
Unique sites:
Te (0.000, 0.000, 0.000) (multiplicity 1)
Os (0.000, 0.500, 0.500) (multiplicity 3)
N (0.500, 0.500, 0.500) (multiplicity 1)

Model 2:
Crystalline TeOs3N at its relaxed geometry, computed with PBE.

density of states at the Fermi level = 1.697 states/eV/atom

abc: 4.849 4.849 4.849
angles: 90.00 90.00 90.00
Space group Pm-3m (No. 221)
Unique sites:
Te (0.000, 0.000, 0.000) (multiplicity 1)
Os (0.000, 0.000, 0.500) (multiplicity 3)
N (0.500, 0.500, 0.500) (multiplicity 1)

The least stable of them is model 2.

Model 1:
Crystalline TeOs2N2 at its relaxed geometry, computed with PBE.

density of states at the Fermi level = 0.652 states/eV/atom

abc: 7.291 7.291 2.737
angles: 90.00 90.00 90.00
Space group P4/mbm (No. 127)
Unique sites:
Te (0.000, 0.000, 0.000) (multiplicity 2)
Os (0.120, 0.380, 0.500) (multiplicity 4)
N (0.112, 0.612, 0.000) (multiplicity 4)

Model 2:
Crystalline TeOs2N2 at its relaxed geometry, computed with PBE.

density of states at the Fermi level = 0.735 states/eV/atom

abc: 3.887 3.887 9.672
angles: 90.00 90.00 90.00
Space group I4/mmm (No. 139)
Unique sites:
Te (0.000, 0.000, 0.000) (multiplicity 2)
Os (0.000, 0.500, 0.250) (multiplicity 4)
N (0.000, 0.000, 0.333) (multiplicity 4)

The least stable of them is model 1.

Model 1:
Crystalline TiTe2OsN at its relaxed geometry, computed with PBE.

density of states at the Fermi level = 1.582 states/eV/atom

abc: 5.373 5.373 3.610
angles: 90.00 90.00 90.00
Space group P4/mmm (No. 123)
Unique sites:
Ti (0.000, 0.000, 0.000) (multiplicity 1)
Te (0.000, 0.500, 0.000) (multiplicity 2)
Os (0.500, 0.500, 0.500) (multiplicity 1)
N (0.000, 0.000, 0.500) (multiplicity 1)

Model 2:
Crystalline TiTe2OsN at its relaxed geometry, computed with PBE.

density of states at the Fermi level = 1.111 states/eV/atom

abc: 5.448 5.448 3.672
angles: 90.00 90.00 90.00
Space group P4/mmm (No. 123)
Unique sites:
Ti (0.000, 0.000, 0.000) (multiplicity 1)
Te (0.000, 0.500, 0.500) (multiplicity 2)
Os (0.500, 0.500, 0.500) (multiplicity 1)
N (0.500, 0.500, 0.000) (multiplicity 1)

The least stable of them is model 1.

Model 1:
Crystalline TeOsWN2 at its relaxed geometry, computed with PBE.

density of states at the Fermi level = 0.812 states/eV/atom

abc: 3.859 3.859 5.910
angles: 90.00 90.00 90.00
Space group P4/mmm (No. 123)
Unique sites:
Te (0.000, 0.000, 0.000) (multiplicity 1)
Os (0.000, 0.000, 0.500) (multiplicity 1)
W (0.500, 0.500, 0.000) (multiplicity 1)
N (0.000, 0.500, 0.500) (multiplicity 2)

Model 2:
Crystalline TeOsWN2 at its relaxed geometry, computed with PBE.

density of states at the Fermi level = 1.068 states/eV/atom

abc: 3.892 3.892 5.867
angles: 90.00 90.00 90.00
Space group P4/mmm (No. 123)
Unique sites:
Te (0.000, 0.000, 0.000) (multiplicity 1)
Os (0.500, 0.500, 0.000) (multiplicity 1)
W (0.000, 0.000, 0.500) (multiplicity 1)
N (0.000, 0.500, 0.500) (multiplicity 2)

The least stable of them is model 1.

Model 1:
Crystalline Te2OsWN at its relaxed geometry, computed with PBE.

density of states at the Fermi level = 0.614 states/eV/atom

abc: 5.368 5.368 3.650
angles: 90.00 90.00 90.00
Space group P4/mmm (No. 123)
Unique sites:
Te (0.000, 0.500, 0.000) (multiplicity 2)
Os (0.000, 0.000, 0.000) (multiplicity 1)
W (0.500, 0.500, 0.500) (multiplicity 1)
N (0.000, 0.000, 0.500) (multiplicity 1)

Model 2:
Crystalline Te2OsWN at its relaxed geometry, computed with PBE.

density of states at the Fermi level = 1.242 states/eV/atom

abc: 5.331 5.331 3.728
angles: 90.00 90.00 90.00
Space group P4/mmm (No. 123)
Unique sites:
Te (0.000, 0.500, 0.000) (multiplicity 2)
Os (0.000, 0.000, 0.500) (multiplicity 1)
W (0.500, 0.500, 0.000) (multiplicity 1)
N (0.500, 0.500, 0.500) (multiplicity 1)

The least stable of them is model 2.

Model 1:
Crystalline ZrTe2OsN at its relaxed geometry, computed with PBE.

density of states at the Fermi level = 0.828 states/eV/atom

abc: 5.441 5.441 3.696
angles: 90.00 90.00 90.00
Space group P4/mmm (No. 123)
Unique sites:
Zr (0.000, 0.000, 0.000) (multiplicity 1)
Te (0.000, 0.500, 0.500) (multiplicity 2)
Os (0.500, 0.500, 0.500) (multiplicity 1)
N (0.500, 0.500, 0.000) (multiplicity 1)

Model 2:
Crystalline ZrTe2OsN at its relaxed geometry, computed with PBE.

density of states at the Fermi level = 0.966 states/eV/atom

abc: 5.644 5.644 3.917
angles: 90.00 90.00 90.00
Space group P4/mmm (No. 123)
Unique sites:
Zr (0.000, 0.000, 0.000) (multiplicity 1)
Te (0.000, 0.500, 0.000) (multiplicity 2)
Os (0.500, 0.500, 0.500) (multiplicity 1)
N (0.000, 0.000, 0.500) (multiplicity 1)

The least stable of them is model 2.